# ZrMo2O8 | Alexandria | PBE+U | relaxed
# Total magnetic moment (μB per cell): 0.00
# E above lowest polymorph (eV per formula unit): 1.39
# Uncorrected energy (eV/atom): -7.605
data_ZrMo2O8
_cell_length_a 12.473
_cell_length_b 7.167
_cell_length_c 10.503
_cell_angle_alpha 90.00
_cell_angle_beta 124.50
_cell_angle_gamma 90.00
_space_group_name_H-M_alt 'C 1 2/c 1'
_space_group_IT_number 15
loop_
_space_group_symop_operation_xyz
'x,y,z'
'-x,-y,-z'
'-x,y,-z+1/2'
'x,-y,z+1/2'
'x+1/2,y+1/2,z'
'-x+1/2,-y+1/2,-z'
'-x+1/2,y+1/2,-z+1/2'
'x+1/2,-y+1/2,z+1/2'
loop_
_atom_site_label
_atom_site_type_symbol
_atom_site_fract_x
_atom_site_fract_y
_atom_site_fract_z
Zr1 Zr 0.000 0.220 0.250
Mo1 Mo 0.209 0.037 0.999
O1 O 0.087 0.124 0.480
O2 O 0.138 0.438 0.340
O3 O 0.151 0.026 0.299
O4 O 0.166 0.261 0.032